[1]
# DySc3Ni8

A relaxed DySc3Ni8 crystal (PBE, Alexandria via LeMat-Bulk).

Computed properties:
* polymorph energy (0 for the lowest one): 0.0 meV per atom
* D(E_F): 24.35 states/eV/cell
* crystal system: trigonal

Cell: 4.9279 4.9279 24.2370 Å, 90.00 90.00 120.00°
Space group R3m (No. 160, hexagonal axes)
One atom of each set of equivalent atoms:
1 Dy 0.0000 0.0000 0.0000
2 Sc 0.0000 0.0000 0.1266
3 Sc 0.0000 0.0000 0.4979
4 Sc 0.0000 0.0000 0.6208
5 Ni 0.0000 0.0000 0.3114
6 Ni 0.0000 0.0000 0.8117
7 Ni 0.0006 0.5003 0.0632
8 Ni 0.1675 0.3350 0.8937

=====

[2]
# TcPt2W

A relaxed TcPt2W crystal (PBE, Alexandria via LeMat-Bulk).

Computed properties:
* polymorph energy (0 for the lowest one): 0.0 meV per atom
* D(E_F): 4.12 states/eV/cell
* crystal system: orthorhombic

Cell: 2.7618 4.4874 4.9280 Å, 90.00 90.00 90.00°
Space group Pmm2 (No. 25)
One atom of each set of equivalent atoms:
1 Tc 0.0000 0.0000 0.0000
2 Pt 0.5000 0.0000 0.5048
3 Pt 0.5000 0.5000 0.1803
4 W 0.0000 0.5000 0.6871

=====

[3]
# Na3BeIr

A relaxed Na3BeIr crystal (PBE, Alexandria via LeMat-Bulk).

Computed properties:
* polymorph energy (0 for the lowest one): 129.5 meV per atom
* D(E_F): 3.75 states/eV/cell
* crystal system: cubic

Cell: 4.9947 4.9947 4.9947 Å, 90.00 90.00 90.00°
Space group Pm-3m (No. 221)
One atom of each set of equivalent atoms:
1 Na 0.0000 0.0000 0.5000
2 Be 0.0000 0.0000 0.0000
3 Ir 0.5000 0.5000 0.5000